Entry from the Alexandria database: a relaxed structure of Mn2CrCl2O2 (PBE+U).

extended XYZ file:
```
7
Lattice="6.0903 -1.7841 0.0000 6.0903 1.7841 0.0000 -2.8388 0.0000 5.4759" Properties=species:S:1:pos:R:3 pbc="T T T"
Mn 2.3636 0.0000 1.0267
Mn 6.9782 0.0000 4.4492
Cr -1.4194 0.0000 2.7380
Cl 2.9285 0.0000 3.7466
Cl 6.4132 0.0000 1.7293
O -0.2592 0.0000 4.3998
O 9.6009 0.0000 1.0762
```

Summary:
Raw total energy = -6.559 eV per atom
Magnetization = 14.000 Bohr magnetons per cell

Entry from the Alexandria database: a relaxed structure of MnCrClO2 (PBE+U).

extended XYZ file:
```
10
Lattice="6.1101 0.0000 0.0000 0.0000 3.9562 0.0000 -1.2540 0.0000 6.9195" Properties=species:S:1:pos:R:3 pbc="T T T"
Mn 0.4804 0.9891 2.9143
Mn 4.3757 2.9672 4.0052
Cr -0.4675 0.9891 6.1059
Cr 5.3236 2.9672 0.8135
Cl 1.7701 0.9891 5.1075
Cl 3.0860 2.9672 1.8120
O -0.8214 2.9672 6.2079
O -0.0285 2.9672 2.5819
O 4.8846 0.9891 4.3376
O 5.6775 0.9891 0.7116
```

Summary:
Raw total energy = -6.860 eV per atom
Magnetization = 16.000 Bohr magnetons per cell